[1]
Computed, not measured: crystalline Ac2PPt3 at its relaxed geometry at the PBE-GGA level of DFT.

Cell: 4.2101 4.3638 7.7694 Å, 90.00 90.00 90.00°
Last column: nearest neighbours and their distance in Å.
Fractional coordinates of all 6 atoms:
Ac1 0.0000 0.0000 0.0000  8 Pt 3.18-3.34, 4 P 3.36
Ac2 0.0000 0.5000 0.4946  2 P 3.26, 10 Pt 3.28-3.57
P1 0.5000 0.5000 0.8149  3 Pt 2.39-2.40
Pt1 0.5000 0.0000 0.3335  3 Pt 2.72-2.76
Pt2 0.5000 0.0000 0.6891  2 P 2.39
Pt3 0.5000 0.5000 0.1237  1 P 2.40

- excess energy over the best structure of this formula in the dataset (eV per atom) = 0.0154
- mass density (g/cm³) = 12.45
- raw total energy (eV/atom) = -6.47
- energy of formation (meV per atom) = -1177
- N(E_F) (states/eV/f.u.) = 3.87
- calculated volume (Å³ per cell) = 142.74

***

[2]
Computed, not measured: crystalline AcP2Pt8 at its relaxed geometry at the PBE-GGA level of DFT.

Cell: 8.7824 8.7824 8.7824 Å, 143.83 143.83 52.07°
Last column: nearest neighbours and their distance in Å.
Fractional coordinates of all 11 atoms:
Ac1 0.0000 0.0000 0.0000  8 Pt 3.14
P1 0.2500 0.7500 0.5000  8 Pt 2.43
P2 0.7500 0.2500 0.5000  8 Pt 2.43
Pt1 0.0974 0.0974 0.5065  2 P 2.43, 2 Pt 2.69
Pt2 0.0974 0.5909 0.0000  2 P 2.43, 2 Pt 2.69
Pt3 0.4091 0.4091 0.5065  2 P 2.43, 2 Pt 2.69
Pt4 0.4091 0.9026 0.0000  2 P 2.43, 2 Pt 2.69
Pt5 0.5909 0.0974 0.0000  2 P 2.43, 2 Pt 2.69
Pt6 0.5909 0.5909 0.4935  2 P 2.43, 2 Pt 2.69
Pt7 0.9026 0.4091 0.0000  2 P 2.43, 2 Pt 2.69
Pt8 0.9026 0.9026 0.4935  2 P 2.43, 2 Pt 2.69

- mass density (g/cm³) = 13.09
- raw total energy (eV/atom) = -6.07
- energy of formation (meV per atom) = -320
- N(E_F) (states/eV/f.u.) = 4.92
- calculated volume (Å³ per cell) = 234.55

***

[3]
Computed, not measured: crystalline AcPuPPt at its relaxed geometry at the PBE-GGA level of DFT.

Cell: 5.1669 5.1669 5.1669 Å, 60.00 60.00 60.00°
Last column: nearest neighbours and their distance in Å.
Fractional coordinates of all 4 atoms:
Ac1 0.0000 0.0000 0.0000  4 Pt 3.16, 4 P 3.16
Pu1 0.5000 0.5000 0.5000  4 Pt 3.16, 4 P 3.16
P1 0.2500 0.2500 0.2500  4 Ac 3.16, 4 Pu 3.16
Pt1 0.7500 0.7500 0.7500  4 Ac 3.16, 4 Pu 3.16

- mass density (g/cm³) = 11.87
- raw total energy (eV/atom) = -8.30
- energy of formation (meV per atom) = -822
- N(E_F) (states/eV/f.u.) = 11.97
- calculated volume (Å³ per cell) = 97.54

***

[4]
Computed, not measured: crystalline AcPuP2Pt2 at its relaxed geometry at the PBE-GGA level of DFT.

Cell: 4.2196 4.2196 8.2295 Å, 90.00 90.00 120.00°
Last column: nearest neighbours and their distance in Å.
Fractional coordinates of all 6 atoms:
Ac1 0.0000 0.0000 0.0000  6 Pt 3.24, 6 P 3.33
Pu1 0.0000 0.0000 0.5000  6 P 3.05, 6 Pt 3.14
P1 0.3333 0.6667 0.2762  3 Pt 2.44
P2 0.6667 0.3333 0.7238  3 Pt 2.44
Pt1 0.3333 0.6667 0.7401  3 P 2.44
Pt2 0.6667 0.3333 0.2599  3 P 2.44

- mass density (g/cm³) = 12.08
- raw total energy (eV/atom) = -8.06
- energy of formation (meV per atom) = -1172
- N(E_F) (states/eV/f.u.) = 10.29
- calculated volume (Å³ per cell) = 126.89

***

[5]
Computed, not measured: crystalline RbAcP2Pt4 at its relaxed geometry at the PBE-GGA level of DFT.

Cell: 4.1877 4.1877 11.1331 Å, 90.00 90.00 90.00°
Last column: nearest neighbours and their distance in Å.
Fractional coordinates of all 8 atoms:
Rb1 0.0000 0.0000 0.0000  8 P 3.67, 8 Pt 3.84
Ac1 0.0000 0.0000 0.5000  8 Pt 3.15
P1 0.5000 0.5000 0.1943  4 Pt 2.34
P2 0.5000 0.5000 0.8057  4 Pt 2.34
Pt1 0.0000 0.5000 0.2887  2 P 2.34
Pt2 0.0000 0.5000 0.7113  2 P 2.34
Pt3 0.5000 0.0000 0.2887  2 P 2.34
Pt4 0.5000 0.0000 0.7113  2 P 2.34

- mass density (g/cm³) = 9.82
- raw total energy (eV/atom) = -5.71
- energy of formation (meV per atom) = -705
- N(E_F) (states/eV/f.u.) = 4.37
- calculated volume (Å³ per cell) = 195.24

***

[6]
Computed, not measured: crystalline AcP2PtRh5 at its relaxed geometry at the PBE-GGA level of DFT.

Cell: 4.0524 4.0524 10.2067 Å, 90.00 90.00 90.00°
Last column: nearest neighbours and their distance in Å.
Fractional coordinates of all 9 atoms:
Ac1 0.0000 0.0000 0.0000  4 Rh 2.87
P1 0.5000 0.5000 0.2258  5 Rh 2.29-2.31
P2 0.5000 0.5000 0.7742  5 Rh 2.29-2.31
Pt1 0.0000 0.0000 0.5000  8 Rh 2.66
Rh1 0.0000 0.5000 0.3313  2 P 2.29
Rh2 0.0000 0.5000 0.6687  2 P 2.29
Rh3 0.5000 0.0000 0.3313  2 P 2.29
Rh4 0.5000 0.0000 0.6687  2 P 2.29
Rh5 0.5000 0.5000 0.0000  2 P 2.31

- mass density (g/cm³) = 9.89
- raw total energy (eV/atom) = -6.93
- energy of formation (meV per atom) = -514
- N(E_F) (states/eV/f.u.) = 4.72
- calculated volume (Å³ per cell) = 167.61

***

[7]
Computed, not measured: crystalline Ac2P3PtRh4 at its relaxed geometry at the PBE-GGA level of DFT.

Cell: 4.2593 4.2593 10.2218 Å, 90.00 90.00 90.00°
Last column: nearest neighbours and their distance in Å.
Fractional coordinates of all 10 atoms:
Ac1 0.0000 0.5000 0.2413  8 Rh 3.15-3.40, 2 Pt 3.26, 6 P 3.26-3.31
Ac2 0.5000 0.0000 0.7587  8 Rh 3.15-3.40, 2 Pt 3.26, 6 P 3.26-3.31
P1 0.0000 0.0000 0.0000  4 Rh 2.62
P2 0.0000 0.5000 0.6244  5 Rh 2.31-2.48
P3 0.5000 0.0000 0.3756  5 Rh 2.31-2.48
Pt1 0.5000 0.5000 0.0000  4 Rh 2.62
Rh1 0.0000 0.0000 0.5000  4 P 2.48
Rh2 0.0000 0.5000 0.8502  1 P 2.31
Rh3 0.5000 0.0000 0.1498  1 P 2.31
Rh4 0.5000 0.5000 0.5000  4 P 2.48

- mass density (g/cm³) = 10.33
- raw total energy (eV/atom) = -6.86
- energy of formation (meV per atom) = -870
- N(E_F) (states/eV/f.u.) = 7.71
- calculated volume (Å³ per cell) = 185.44

***

[8]
Computed, not measured: crystalline Ac2P3Pt12Rh at its relaxed geometry at the PBE-GGA level of DFT.

Cell: 7.8706 7.8706 7.8706 Å, 63.40 63.40 63.40°
Last column: nearest neighbours and their distance in Å.
Fractional coordinates of all 18 atoms:
Ac1 0.1159 0.1159 0.1159  6 Pt 3.02-3.14
Ac2 0.8841 0.8841 0.8841  6 Pt 3.02-3.14
P1 0.0000 0.5000 0.5000  6 Pt 2.27-2.32
P2 0.5000 0.0000 0.5000  6 Pt 2.27-2.32
P3 0.5000 0.5000 0.0000  6 Pt 2.27-2.32
Pt1 0.1256 0.6186 0.6186  1 P 2.27, 1 Rh 2.51
Pt2 0.1585 0.1585 0.6007  2 P 2.32
Pt3 0.1585 0.6007 0.1585  2 P 2.32
Pt4 0.3814 0.3814 0.8744  1 P 2.27, 1 Rh 2.51
Pt5 0.3814 0.8744 0.3814  1 P 2.27, 1 Rh 2.51
Pt6 0.3993 0.8415 0.8415  2 P 2.32
Pt7 0.6007 0.1585 0.1585  2 P 2.32
Pt8 0.6186 0.1256 0.6186  1 P 2.27, 1 Rh 2.51
Pt9 0.6186 0.6186 0.1256  1 P 2.27, 1 Rh 2.51
Pt10 0.8415 0.3993 0.8415  2 P 2.32
Pt11 0.8415 0.8415 0.3993  2 P 2.32
Pt12 0.8744 0.3814 0.3814  1 P 2.27, 1 Rh 2.51
Rh1 0.5000 0.5000 0.5000  6 Pt 2.51

- mass density (g/cm³) = 13.40
- raw total energy (eV/atom) = -6.17
- energy of formation (meV per atom) = -375
- N(E_F) (states/eV/f.u.) = 7.28
- calculated volume (Å³ per cell) = 370.65

***

[9]
Computed, not measured: crystalline Ac2PPt6Rh at its relaxed geometry at the PBE-GGA level of DFT.

Cell: 6.4747 6.4747 8.3955 Å, 124.88 124.88 50.63°
Last column: nearest neighbours and their distance in Å.
Fractional coordinates of all 10 atoms:
Ac1 0.2246 0.2246 0.1815  9 Pt 3.15-3.51, 2 Rh 3.44
Ac2 0.7754 0.7754 0.8185  9 Pt 3.15-3.51, 2 Rh 3.44
P1 0.0000 0.0000 0.5000  6 Pt 2.38-2.39
Pt1 0.2421 0.7323 0.7159  1 P 2.38
Pt2 0.2475 0.2475 0.6185  1 P 2.39, 1 Rh 2.65
Pt3 0.2677 0.7579 0.2841  1 P 2.38
Pt4 0.7323 0.2421 0.7159  1 P 2.38
Pt5 0.7525 0.7525 0.3815  1 P 2.39, 1 Rh 2.65
Pt6 0.7579 0.2677 0.2841  1 P 2.38
Rh1 0.5000 0.5000 0.0000  6 Pt 2.65-2.66

- mass density (g/cm³) = 13.86
- raw total energy (eV/atom) = -6.55
- energy of formation (meV per atom) = -825
- N(E_F) (states/eV/f.u.) = 4.20
- calculated volume (Å³ per cell) = 210.73

***

[10]
Computed, not measured: crystalline Ac6PPt2Rh at its relaxed geometry at the PBE-GGA level of DFT.

Cell: 8.3885 8.3885 8.3885 Å, 53.67 53.67 53.67°
Last column: nearest neighbours and their distance in Å.
Fractional coordinates of all 10 atoms:
Ac1 0.0010 0.6792 0.3197  1 Rh 3.00, 2 Pt 3.08-3.10, 1 P 3.15
Ac2 0.1793 0.4999 0.8066  2 Pt 3.05-3.10, 1 Rh 3.07, 1 P 3.08
Ac3 0.3197 0.0010 0.6792  1 Rh 3.00, 2 Pt 3.08-3.10, 1 P 3.15
Ac4 0.4999 0.8066 0.1793  2 Pt 3.05-3.10, 1 Rh 3.07, 1 P 3.08
Ac5 0.6792 0.3197 0.0010  1 Rh 3.00, 2 Pt 3.08-3.10, 1 P 3.15
Ac6 0.8066 0.1793 0.4999  2 Pt 3.05-3.10, 1 Rh 3.07, 1 P 3.08
P1 0.9067 0.9067 0.9067  6 Ac 3.08-3.15
Pt1 0.0900 0.0900 0.0900  6 Ac 3.05-3.10
Pt2 0.5882 0.5882 0.5882  6 Ac 3.08-3.10
Rh1 0.4051 0.4051 0.4051  6 Ac 3.00-3.07

- mass density (g/cm³) = 8.81
- raw total energy (eV/atom) = -5.82
- energy of formation (meV per atom) = -875
- N(E_F) (states/eV/f.u.) = 5.87
- calculated volume (Å³ per cell) = 355.62

***

[11]
Computed, not measured: crystalline Ac6PPt2S3 at its relaxed geometry at the PBE-GGA level of DFT.

Cell: 7.5520 7.5520 7.7720 Å, 99.38 99.38 120.03°
Last column: nearest neighbours and their distance in Å.
Fractional coordinates of all 12 atoms:
Ac1 0.0842 0.4198 0.7577  2 Pt 3.07-3.08, 1 P 3.09, 3 S 3.16-3.18
Ac2 0.2449 0.2449 0.2430  2 Pt 3.08, 1 P 3.11, 3 S 3.11-3.13
Ac3 0.4198 0.0842 0.7577  2 Pt 3.07-3.08, 1 P 3.09, 3 S 3.16-3.18
Ac4 0.5802 0.9158 0.2423  2 Pt 3.07-3.08, 1 P 3.09, 3 S 3.16-3.18
Ac5 0.7551 0.7551 0.7570  2 Pt 3.08, 1 P 3.11, 3 S 3.11-3.13
Ac6 0.9158 0.5802 0.2423  2 Pt 3.07-3.08, 1 P 3.09, 3 S 3.16-3.18
P1 0.5000 0.5000 0.0000  6 Ac 3.09-3.11
Pt1 0.1673 0.8327 0.0000  6 Ac 3.07-3.08
Pt2 0.8327 0.1673 0.0000  6 Ac 3.07-3.08
S1 0.0000 0.0000 0.5000  6 Ac 3.13-3.16
S2 0.3383 0.6617 0.5000  6 Ac 3.11-3.18
S3 0.6617 0.3383 0.5000  6 Ac 3.11-3.18

- mass density (g/cm³) = 8.60
- raw total energy (eV/atom) = -6.13
- formation energy (no corrections) (meV per atom) = -1587
- N(E_F) (states/eV/f.u.) = 9.54
- calculated volume (Å³ per cell) = 362.77

***

[12]
Computed, not measured: crystalline Ac4PPt2S at its relaxed geometry at the PBE-GGA level of DFT.

Cell: 7.4711 4.3229 7.9239 Å, 90.00 108.20 90.00°
Last column: nearest neighbours and their distance in Å.
Fractional coordinates of all 8 atoms:
Ac1 0.2443 0.0000 0.2434  3 Pt 3.09-3.11, 1 P 3.13, 2 S 3.17
Ac2 0.2483 0.5000 0.7556  3 Pt 3.07-3.11, 2 P 3.14, 1 S 3.16
Ac3 0.7517 0.5000 0.2444  3 Pt 3.07-3.11, 2 P 3.14, 1 S 3.16
Ac4 0.7557 0.0000 0.7566  3 Pt 3.09-3.11, 1 P 3.13, 2 S 3.17
P1 0.0000 0.0000 0.5000  6 Ac 3.13-3.14
Pt1 0.0000 0.5000 0.0000  6 Ac 3.07-3.09
Pt2 0.5000 0.0000 0.0000  6 Ac 3.11
S1 0.5000 0.5000 0.5000  6 Ac 3.16-3.17

- mass density (g/cm³) = 9.30
- raw total energy (eV/atom) = -6.14
- formation energy (no corrections) (meV per atom) = -1388
- N(E_F) (states/eV/f.u.) = 5.46
- calculated volume (Å³ per cell) = 243.11